Compound: Ca6TlPt2
Source: the Alexandria database
Functional: PBE
Structure: relaxed

Properties
The total energy is -0.2611 Ry/atom. The calculation puts the volume at 525.3 Å³/cell. The calculation puts the formation energy at -613 meV/atom.

abc: 8.838 8.838 8.838
angles: 102.50 112.03 114.11
Sites, in units of the cell vectors:
1 Pt 0.671 0.000 0.671
2 Pt 0.500 0.631 0.131
3 Pt 0.329 0.000 0.329
4 Pt 0.500 0.369 0.869
5 Ca 0.888 0.709 0.179
6 Ca 0.801 0.759 0.560
7 Ca 0.315 0.977 0.662
8 Ca 0.470 0.291 0.179
9 Ca 0.685 0.348 0.662
10 Ca 0.315 0.652 0.338
11 Ca 0.530 0.709 0.821
12 Ca 0.801 0.241 0.041
13 Ca 0.112 0.291 0.821
14 Ca 0.199 0.241 0.440
15 Ca 0.685 0.023 0.338
16 Ca 0.199 0.759 0.959
17 Tl 0.000 0.500 0.500
18 Tl 0.000 0.000 0.000

---

Compound: TaSn2Se
Source: the Alexandria database
Functional: PBE
Structure: relaxed

Properties
For the uncorrected formation energy, the calculation gives 0.765 eV per atom. Its energy above the lowest structure with this stoichiometry is 17.0 kJ per mole of atoms. The total energy is -0.3727 Ry/atom. The calculation puts the volume at 265.3 Å³/cell.

abc: 6.517 6.517 7.762
angles: 65.18 65.18 90.00
Sites, in units of the cell vectors:
1 Sn 0.117 0.625 0.250
2 Sn 0.633 0.125 0.250
3 Sn 0.875 0.883 0.750
4 Sn 0.375 0.367 0.750
5 Se 0.500 0.500 0.000
6 Se 0.250 0.750 0.500
7 Ta 0.000 0.000 0.000
8 Ta 0.750 0.250 0.500

---

Compound: BaTc3Ru
Source: the Alexandria database
Functional: PBE
Structure: relaxed

Properties
Its energy above the lowest structure with this stoichiometry is 0.0 kJ per mole of atoms. The total energy is -0.5248 Ry/atom. The calculation puts the volume at 111.8 Å³/cell. The calculation puts the formation energy at 1319 meV/atom.

abc: 4.817 4.817 4.817
angles: 90.00 90.00 90.00
Sites, in units of the cell vectors:
1 Tc 0.000 0.000 0.500
2 Tc 0.000 0.500 0.000
3 Tc 0.500 0.000 0.000
4 Ba 0.500 0.500 0.500
5 Ru 0.000 0.000 0.000

---

Copy entry 2 word for word.
Compound: TaSn2Se
Source: the Alexandria database
Functional: PBE
Structure: relaxed

Properties
For the uncorrected formation energy, the calculation gives 0.765 eV per atom. Its energy above the lowest structure with this stoichiometry is 17.0 kJ per mole of atoms. The total energy is -0.3727 Ry/atom. The calculation puts the volume at 265.3 Å³/cell.

abc: 6.517 6.517 7.762
angles: 65.18 65.18 90.00
Sites, in units of the cell vectors:
1 Sn 0.117 0.625 0.250
2 Sn 0.633 0.125 0.250
3 Sn 0.875 0.883 0.750
4 Sn 0.375 0.367 0.750
5 Se 0.500 0.500 0.000
6 Se 0.250 0.750 0.500
7 Ta 0.000 0.000 0.000
8 Ta 0.750 0.250 0.500

---

- The lowest total energy belongs to which entry?
  BaTc3Ru

---

- The highest total energy belongs to which entry?
  Ca6TlPt2